Record 1
# TbPuSc2Bi4

A relaxed TbPuSc2Bi4 crystal (PBE, Alexandria).

Lattice parameters (Å, degrees): 4.3947 7.6209 7.5932 109.43 90.00 90.00
Last column: magnetic moment on the atom in μB.
Atoms (fractional coordinates):
Tb 0.0000 0.0000 0.0000  0.00
Pu 0.5000 0.5000 0.0000  5.31
Sc 0.5000 0.0000 0.5000  -0.06
Sc 0.0000 0.5000 0.5000  0.01
Bi 0.5000 0.2545 0.2666  -0.03
Bi 0.5000 0.7455 0.7334  -0.03
Bi 0.0000 0.2431 0.7324  -0.07
Bi 0.0000 0.7569 0.2676  -0.07

## Properties
**Calculated formation energy**: -624 meV per atom
**Crystal system**: monoclinic
**SG**: P2/m (10)

***

Record 2
# Sn3HIr

A relaxed Sn3HIr crystal (PBE, Alexandria).

Lattice parameters (Å, degrees): 4.5172 4.5172 4.5172 90.00 90.00 90.00
Atoms (fractional coordinates):
H 0.0000 0.0000 0.0000
Ir 0.5000 0.5000 0.5000
Sn 0.0000 0.5000 0.0000
Sn 0.0000 0.0000 0.5000
Sn 0.5000 0.0000 0.0000

## Properties
**Crystal system**: cubic
**SG**: Pm-3m (221)
**Energy above the most stable polymorph in this dataset**: 0.000 eV/f.u.

***

Record 3
# ZrTl2Ir

A relaxed ZrTl2Ir crystal (PBE, Alexandria).

Lattice parameters (Å, degrees): 5.5255 5.5255 3.0990 90.00 90.00 115.87
Atoms (fractional coordinates):
Ir 0.0000 0.5000 0.5000
Tl 0.0000 0.0000 0.0000
Tl 0.5000 0.5000 0.0000
Zr 0.5000 0.0000 0.5000

## Properties
**Calculated formation energy**: 338 meV per atom
**Crystal system**: orthorhombic
**SG**: Cmmm (65)
**Energy above the most stable polymorph in this dataset**: 1.827 eV/f.u.

***

Record 4
# BePtN2O

A relaxed BePtN2O crystal (PBE, Alexandria).

Lattice parameters (Å, degrees): 3.8021 3.8021 4.2065 90.00 90.00 90.00
Atoms (fractional coordinates):
Be 0.5000 0.5000 0.5000
O 0.0000 0.0000 0.5000
Pt 0.0000 0.0000 0.0000
N 0.0000 0.5000 0.0000
N 0.5000 0.0000 0.0000

## Properties
**Crystal system**: tetragonal
**SG**: P4/mmm (123)
**ΔE_f (raw)**: 1.465 eV/atom

***

Record 5
# TlHPd2

A relaxed TlHPd2 crystal (PBE, Alexandria).

Lattice parameters (Å, degrees): 3.1183 3.1183 7.0025 77.13 77.13 60.00
Atoms (fractional coordinates):
H 0.0000 0.0000 0.0000
Tl 0.5000 0.5000 0.5000
Pd 0.7218 0.7218 0.8345
Pd 0.2782 0.2782 0.1655

## Properties
**Crystal system**: trigonal
**SG**: R-3m (166)
**Energy above the most stable polymorph in this dataset**: 0.400 eV/f.u.

***

Record 6
# PAu3

A relaxed PAu3 crystal (PBE, Alexandria).

Lattice parameters (Å, degrees): 5.1195 5.1195 5.1195 132.95 132.95 68.74
Atoms (fractional coordinates):
P 0.0000 0.0000 0.0000
Au 0.7500 0.2500 0.5000
Au 0.2500 0.7500 0.5000
Au 0.5000 0.5000 0.0000

## Properties
**Calculated formation energy**: 316 meV per atom
**Crystal system**: tetragonal
**SG**: I4/mmm (139)
**Energy above the most stable polymorph in this dataset**: 1.163 eV/f.u.

***

Record 7
# HgI2Cl8

A relaxed HgI2Cl8 crystal (PBE, Alexandria).

Lattice parameters (Å, degrees): 9.5044 9.5333 12.0924 80.00 66.86 60.10
Atoms (fractional coordinates):
Hg 0.0151 0.7500 0.2500
Hg 0.9849 0.2500 0.7500
I 0.7612 0.9953 0.9995
I 0.2441 0.4953 0.4995
I 0.7559 0.5047 0.5005
I 0.2388 0.0047 0.0005
Cl 0.5418 0.7586 0.4576
Cl 0.2285 0.0038 0.2041
Cl 0.7492 0.0124 0.2211
Cl 0.0069 0.2126 0.5415
Cl 0.2508 0.9876 0.7789
Cl 0.7610 0.2874 0.9585
Cl 0.9931 0.7874 0.4585
Cl 0.0172 0.5124 0.7211
Cl 0.2390 0.7126 0.0415
Cl 0.7580 0.7414 0.0424
Cl 0.5636 0.5038 0.7041
Cl 0.4364 0.4962 0.2959
Cl 0.2420 0.2586 0.9576
Cl 0.9828 0.4876 0.2789
Cl 0.4582 0.2414 0.5424
Cl 0.7715 0.9962 0.7959

## Properties
**Crystal system**: monoclinic
**SG**: C2/c (15)
**ΔE_f (raw)**: -0.292 eV/atom

***

Record 8
# KZn2Ni

A relaxed KZn2Ni crystal (PBE, Alexandria).

Lattice parameters (Å, degrees): 4.3015 4.3015 6.5237 70.20 70.20 60.01
Atoms (fractional coordinates):
K 0.4986 0.4986 0.4976
Ni 0.3269 0.3269 0.0211
Zn 0.9944 0.9944 0.0183
Zn 0.6800 0.6800 0.9630

## Properties
**Calculated formation energy**: 0 meV per atom
**Crystal system**: monoclinic
**SG**: Cm (8)
**Energy above the most stable polymorph in this dataset**: 0.000 eV/f.u.